Re2Ru | GGA-PBE | optimized geometry

abc: 4.417 4.417 2.699
angles: 90.00 90.00 90.00
Element x y z (fractional)
Re: 0.000 0.500 0.000
Re: 0.500 0.000 0.000
Ru: 0.000 0.000 0.500

Properties
As for the formation energy: 1140 meV per atom. The value obtained for the density of states at the Fermi level is 4.14 states/eV/cell. Its uncorrected energy is -10.25 eV per atom. The value obtained for the offset from the most stable computed form is 3.62 eV/f.u.